1.
Entry from the Alexandria database: a PBEsol-optimized structure of Gd2TiCuO6 (meta-GGA SCAN).

Unit cell a=5.3189 b=5.7617 c=7.4244 alpha=90.00 beta=89.29 gamma=90.00
Last column: nearest neighbours and their distance in Å.
Fractional positions:
O 0.8920 0.0363 0.2519  1 Cu 1.95, 1 Ti 1.96
O 0.1777 0.7052 0.0552  1 Ti 1.99, 1 Cu 2.12
O 0.2008 0.6750 0.4473  1 Ti 1.93
O 0.6777 0.7948 0.5552  1 Ti 1.99, 1 Cu 2.12
O 0.2992 0.1750 0.0527  1 Ti 1.93
O 0.3920 0.4637 0.7519  1 Cu 1.95, 1 Ti 1.96
O 0.7008 0.8250 0.9473  1 Ti 1.93
O 0.6080 0.5363 0.2481  1 Cu 1.95, 1 Ti 1.96
O 0.3223 0.2052 0.4448  1 Ti 1.99, 1 Cu 2.12
O 0.7992 0.3250 0.5527  1 Ti 1.93
O 0.8223 0.2948 0.9448  1 Ti 1.99, 1 Cu 2.12
O 0.1080 0.9637 0.7481  1 Cu 1.95, 1 Ti 1.96
Cu 0.0000 0.0000 0.5000  4 O 1.95-2.12
Cu 0.5000 0.5000 0.0000  4 O 1.95-2.12
Ti 0.5000 0.5000 0.5000  6 O 1.93-1.99
Ti 0.0000 0.0000 0.0000  6 O 1.93-1.99
Gd 0.0189 0.4236 0.2504  6 O 2.28-2.52
Gd 0.4811 0.9236 0.2496  6 O 2.28-2.52
Gd 0.9811 0.5764 0.7496  6 O 2.28-2.52
Gd 0.5189 0.0764 0.7504  6 O 2.28-2.52

Output
The value obtained for the uncorrected formation energy is -3.058 eV/atom. As for the space-group type: P2_1/c, No. 14.

***

2.
Entry from the Alexandria database: a PBEsol-optimized structure of CuRh3 (meta-GGA SCAN).

Unit cell a=2.6439 b=4.5922 c=4.5922 alpha=109.84 beta=90.00 gamma=90.00
Last column: nearest neighbours and their distance in Å.
Fractional positions:
Rh 0.0000 0.5000 0.5000  2 Cu 2.64, 10 Rh 2.64-2.65
Rh 0.5000 0.5000 0.0000  8 Rh 2.64-2.65, 4 Cu 2.65
Rh 0.5000 0.0000 0.5000  8 Rh 2.64-2.65, 4 Cu 2.65
Cu 0.0000 0.0000 0.0000  10 Rh 2.64-2.65, 2 Cu 2.64

Output
For the density of states at the Fermi level, the calculation gives 1.3108 states/eV/atom. As for the space-group type: Cmmm, No. 65. As for the formation energy: 8.2 kJ per mole of atoms.

***

3.
Entry from the Alexandria database: a PBEsol-optimized structure of YPIr2 (meta-GGA SCAN).

Unit cell a=3.2186 b=4.5706 c=5.2286 alpha=115.92 beta=107.93 gamma=90.00
Last column: nearest neighbours and their distance in Å.
Fractional positions:
P 0.5277 0.5277 0.0555  2 Ir 2.31
Ir 0.2155 0.7155 0.4310  2 P 2.31
Ir 0.9869 0.9869 0.9739  4 P 2.82, 4 Ir 2.89-3.05, 4 Y 2.97-2.98
Y 0.7698 0.2698 0.5397  2 P 2.79, 8 Ir 2.84-2.98

Output
For the density of states at the Fermi level, the calculation gives 0.4318 states/eV/atom. As for the space-group type: Imm2, No. 44. As for the formation energy: -41.6 kJ per mole of atoms.